Density functional theory data (PBE) for a relaxed structure of YCu2TeOs.

Cell: 4.961 5.635 4.961 Å, 90.00 90.00 90.00°
Last column: magnetic moment on the atom in μB.
Positions (direct):
1 Y 0.000 0.000 0.000  0.04
2 Te 0.000 0.500 0.000  0.03
3 Os 0.500 0.500 0.500  2.74
4 Cu 0.000 0.000 0.500  0.06
5 Cu 0.500 0.000 0.000  0.04

Output
SG ... P4/mmm (123)
Uncorrected formation energy ... 1806.6 meV per atom
DOS at the Fermi energy ... 5.0 states/eV per cell

***

Density functional theory data (PBE) for a relaxed structure of Th4Cu3Os.

Cell: 3.892 4.348 11.040 Å, 90.00 90.00 90.00°
Positions (direct):
1 Os 0.500 0.500 0.085
2 Cu 0.000 0.500 0.567
3 Cu 0.000 0.000 0.428
4 Cu 0.500 0.000 0.922
5 Th 0.500 0.500 0.353
6 Th 0.000 0.500 0.864
7 Th 0.000 0.000 0.136
8 Th 0.500 0.000 0.644

Output
SG ... Pmm2 (25)
DOS at the Fermi energy ... 8.3 states/eV per cell

***

One value per record, in order, for total energy: -4.00 -6.84 eV/atom.